Here is crystalline CuP at its relaxed geometry from Alexandria. Energies are from PBE-GGA.

Geometry as POSCAR:
```
CuP
1.0
1.679 -4.642 0.000
1.679 4.642 0.000
0.000 0.000 3.524
Cu P
2 2
Direct
0.103 0.897 0.750
0.897 0.103 0.250
0.360 0.640 0.750
0.640 0.360 0.250
```

Results
ρ ... 5716 kg/m³
Energy ... -18.034 eV for the cell shown



Here is crystalline CuP at its relaxed geometry from Alexandria. Energies are from PBE-GGA.

Geometry as POSCAR:
```
CuP
1.0
9.169 0.000 0.000
-4.585 7.941 0.000
0.000 0.000 3.347
Cu P
6 6
Direct
0.195 0.711 0.250
0.289 0.484 0.250
0.484 0.195 0.750
0.516 0.805 0.250
0.711 0.516 0.750
0.805 0.289 0.750
0.018 0.419 0.250
0.401 0.982 0.250
0.419 0.401 0.750
0.581 0.599 0.250
0.599 0.018 0.750
0.982 0.581 0.750
```

Results
ρ ... 3865 kg/m³
Energy ... -55.891 eV for the cell shown



Here is crystalline CuP at its relaxed geometry from Alexandria. Energies are from PBE-GGA.

Geometry as POSCAR:
```
CuP
1.0
2.571 0.000 0.000
0.000 2.571 0.000
0.000 0.000 8.758
Cu P
2 2
Direct
0.250 0.250 0.109
0.750 0.750 0.891
0.250 0.250 0.690
0.750 0.750 0.310
```

Results
ρ ... 5422 kg/m³
Energy ... -18.106 eV for the cell shown